# 1
Density functional theory data (PBE) for a relaxed Ce2TeH2 crystal.

Geometry as CIF:
```
data_Ce2TeH2
_chemical_formula_sum 'Ce4 Te2 H4'
_space_group_name_H-M_alt 'I 4/m m m'
_space_group_IT_number 139
_space_group_name_Hall '-I 4 2'
_cell_length_a 3.904
_cell_length_b 3.904
_cell_length_c 12.823
_cell_angle_alpha 90.00
_cell_angle_beta 90.00
_cell_angle_gamma 90.00
loop_
_atom_site_label
_atom_site_type_symbol
_atom_site_fract_x
_atom_site_fract_y
_atom_site_fract_z
_atom_site_occupancy
Ce1 Ce 0.000 0.000 0.144 1
Te1 Te 0.000 0.000 0.500 1
H1 H 0.000 0.500 0.250 1
```

The calculation puts the total energy at -5.139 eV/atom.

---

# 2
Density functional theory data (PBE) for a relaxed Ce2Te3H4 crystal.

Geometry as CIF:
```
data_Ce2Te3H4
_chemical_formula_sum 'Ce2 Te3 H4'
_space_group_name_H-M_alt 'P -1'
_space_group_IT_number 2
_space_group_name_Hall '-P 1'
_cell_length_a 3.930
_cell_length_b 5.339
_cell_length_c 8.269
_cell_angle_alpha 73.77
_cell_angle_beta 84.26
_cell_angle_gamma 73.96
loop_
_atom_site_label
_atom_site_type_symbol
_atom_site_fract_x
_atom_site_fract_y
_atom_site_fract_z
_atom_site_occupancy
Ce1 Ce 0.226 0.150 0.294 1
Te1 Te 0.128 0.204 0.876 1
Te2 Te 0.500 0.500 0.500 1
H1 H 0.234 0.014 0.573 1
H2 H 0.314 0.690 0.802 1
```

The calculation puts the total energy at -4.417 eV/atom.

---

# 3
Density functional theory data (PBE) for a relaxed CeTe2H crystal.

Geometry as CIF:
```
data_CeTe2H
_chemical_formula_sum 'Ce1 Te2 H1'
_space_group_name_H-M_alt 'P -1'
_space_group_IT_number 2
_space_group_name_Hall '-P 1'
_cell_length_a 4.109
_cell_length_b 4.179
_cell_length_c 5.933
_cell_angle_alpha 69.53
_cell_angle_beta 69.75
_cell_angle_gamma 89.96
loop_
_atom_site_label
_atom_site_type_symbol
_atom_site_fract_x
_atom_site_fract_y
_atom_site_fract_z
_atom_site_occupancy
Ce1 Ce 0.000 0.000 0.000 1
Te1 Te 0.341 0.346 0.311 1
H1 H 0.500 0.000 0.000 1
```

The calculation puts the total energy at -4.576 eV/atom.

---

# 4
Density functional theory data (PBE) for a relaxed Ce5Te5H crystal.

Geometry as CIF:
```
data_Ce5Te5H
_chemical_formula_sum 'Ce10 Te10 H2'
_space_group_name_H-M_alt 'C 1 2/m 1'
_space_group_IT_number 12
_space_group_name_Hall '-C 2y'
_cell_length_a 13.791
_cell_length_b 6.253
_cell_length_c 8.658
_cell_angle_alpha 90.00
_cell_angle_beta 109.46
_cell_angle_gamma 90.00
loop_
_atom_site_label
_atom_site_type_symbol
_atom_site_fract_x
_atom_site_fract_y
_atom_site_fract_z
_atom_site_occupancy
Ce1 Ce 0.000 0.000 0.000 1
Ce2 Ce 0.153 0.500 0.308 1
Ce3 Ce 0.163 0.500 0.846 1
Te1 Te 0.000 0.500 0.500 1
Te2 Te 0.156 0.000 0.811 1
Te3 Te 0.173 0.000 0.342 1
H1 H 0.000 0.500 0.000 1
```

The calculation puts the total energy at -5.447 eV/atom.

---

# 5
Density functional theory data (PBE) for a relaxed Ce4Te3H2 crystal.

Geometry as CIF:
```
data_Ce4Te3H2
_chemical_formula_sum 'Ce16 Te12 H8'
_space_group_name_H-M_alt 'C 1 2/c 1'
_space_group_IT_number 15
_space_group_name_Hall '-C 2yc'
_cell_length_a 12.362
_cell_length_b 10.284
_cell_length_c 7.534
_cell_angle_alpha 90.00
_cell_angle_beta 101.35
_cell_angle_gamma 90.00
loop_
_atom_site_label
_atom_site_type_symbol
_atom_site_fract_x
_atom_site_fract_y
_atom_site_fract_z
_atom_site_occupancy
Ce1 Ce 0.109 0.179 0.010 1
Ce2 Ce 0.165 0.432 0.624 1
Te1 Te 0.000 0.372 0.250 1
Te2 Te 0.153 0.119 0.621 1
H1 H 0.197 0.372 0.940 1
```

The calculation puts the total energy at -5.384 eV/atom.

---

# 6
Density functional theory data (PBE) for a relaxed Ce4Te5H crystal.

Geometry as CIF:
```
data_Ce4Te5H
_chemical_formula_sum 'Ce8 Te10 H2'
_space_group_name_H-M_alt 'C 1 2/m 1'
_space_group_IT_number 12
_space_group_name_Hall '-C 2y'
_cell_length_a 19.641
_cell_length_b 4.237
_cell_length_c 7.848
_cell_angle_alpha 90.00
_cell_angle_beta 97.70
_cell_angle_gamma 90.00
loop_
_atom_site_label
_atom_site_type_symbol
_atom_site_fract_x
_atom_site_fract_y
_atom_site_fract_z
_atom_site_occupancy
Ce1 Ce 0.024 0.000 0.218 1
Ce2 Ce 0.223 0.500 0.227 1
Te1 Te 0.000 0.500 0.500 1
Te2 Te 0.142 0.000 0.962 1
Te3 Te 0.163 0.000 0.459 1
H1 H 0.000 0.500 0.000 1
```

The calculation puts the total energy at -5.317 eV/atom.

---

# 7
Density functional theory data (PBE) for a relaxed Ce2ThH8 crystal.

Geometry as CIF:
```
data_Ce2ThH8
_chemical_formula_sum 'Ce4 Th2 H16'
_space_group_name_H-M_alt 'I m m m'
_space_group_IT_number 71
_space_group_name_Hall '-I 2 2'
_cell_length_a 3.717
_cell_length_b 5.792
_cell_length_c 11.168
_cell_angle_alpha 90.00
_cell_angle_beta 90.00
_cell_angle_gamma 90.00
loop_
_atom_site_label
_atom_site_type_symbol
_atom_site_fract_x
_atom_site_fract_y
_atom_site_fract_z
_atom_site_occupancy
Ce1 Ce 0.000 0.000 0.172 1
Th1 Th 0.000 0.000 0.500 1
H1 H 0.000 0.240 0.000 1
H2 H 0.000 0.257 0.340 1
H3 H 0.000 0.500 0.158 1
```

The calculation puts the total energy at -4.693 eV/atom.

---

# 8
Density functional theory data (PBE) for a relaxed CeTh2H crystal.

Geometry as CIF:
```
data_CeTh2H
_chemical_formula_sum 'Ce3 Th6 H3'
_space_group_name_H-M_alt 'R -3 m'
_space_group_IT_number 166
_space_group_name_Hall '-R 3 2"'
_cell_length_a 3.4039
_cell_length_b 3.4039
_cell_length_c 28.7289
_cell_angle_alpha 90.00
_cell_angle_beta 90.00
_cell_angle_gamma 120.00
loop_
_atom_site_label
_atom_site_type_symbol
_atom_site_fract_x
_atom_site_fract_y
_atom_site_fract_z
_atom_site_occupancy
Ce1 Ce 0.0000 0.0000 0.0000 1
Th1 Th 0.0000 0.0000 0.1118 1
H1 H 0.0000 0.0000 0.5000 1
```

The calculation puts the total energy at -5.959 eV/atom.

---

# 9
Density functional theory data (PBE) for a relaxed CeThH5 crystal.

Geometry as CIF:
```
data_CeThH5
_chemical_formula_sum 'Ce2 Th2 H10'
_space_group_name_H-M_alt 'C m m m'
_space_group_IT_number 65
_space_group_name_Hall '-C 2 2'
_cell_length_a 5.542
_cell_length_b 5.652
_cell_length_c 5.172
_cell_angle_alpha 90.00
_cell_angle_beta 90.00
_cell_angle_gamma 90.00
loop_
_atom_site_label
_atom_site_type_symbol
_atom_site_fract_x
_atom_site_fract_y
_atom_site_fract_z
_atom_site_occupancy
Ce1 Ce 0.000 0.000 0.000 1
Th1 Th 0.000 0.500 0.500 1
H1 H 0.000 0.500 0.000 1
H2 H 0.250 0.250 0.262 1
```

The calculation puts the total energy at -4.805 eV/atom.

---

Please write out number 5 again, unchanged.
Density functional theory data (PBE) for a relaxed Ce4Te3H2 crystal.

Geometry as CIF:
```
data_Ce4Te3H2
_chemical_formula_sum 'Ce16 Te12 H8'
_space_group_name_H-M_alt 'C 1 2/c 1'
_space_group_IT_number 15
_space_group_name_Hall '-C 2yc'
_cell_length_a 12.362
_cell_length_b 10.284
_cell_length_c 7.534
_cell_angle_alpha 90.00
_cell_angle_beta 101.35
_cell_angle_gamma 90.00
loop_
_atom_site_label
_atom_site_type_symbol
_atom_site_fract_x
_atom_site_fract_y
_atom_site_fract_z
_atom_site_occupancy
Ce1 Ce 0.109 0.179 0.010 1
Ce2 Ce 0.165 0.432 0.624 1
Te1 Te 0.000 0.372 0.250 1
Te2 Te 0.153 0.119 0.621 1
H1 H 0.197 0.372 0.940 1
```

The calculation puts the total energy at -5.384 eV/atom.